An optimized crystal structure of Co2WSeN, computed with GGA-PBE.

extended XYZ file:
```
5
Lattice="3.854 0.000 0.000 0.000 3.854 0.000 0.000 0.000 4.131" Properties=species:S:1:pos:R:3 pbc="T T T"
Co 0.000 1.927 0.000
Co 1.927 0.000 0.000
W 0.000 0.000 2.066
Se 1.927 1.927 2.066
N 0.000 0.000 0.000
```

* formation energy from raw total energies: 0.278 eV/atom
* theoretical density: 10.7 g/cm³
* SG: P4/mmm, No. 123
* DFT total energy: -7.517 eV/atom
* Fermi-level density of states: 3.53 states/eV/cell

=====

An optimized crystal structure of SrY2W, computed with GGA-PBE.

extended XYZ file:
```
16
Lattice="8.106 0.000 0.000 0.000 8.106 0.000 0.000 0.000 11.906" Properties=species:S:1:pos:R:3 pbc="T T T"
Sr 0.000 2.027 4.465
Sr 0.000 6.080 7.441
Sr 4.053 2.027 1.488
Sr 4.053 6.080 10.417
Y 0.000 0.000 0.000
Y 0.000 4.053 0.000
Y 2.027 2.027 8.929
Y 2.027 6.080 2.976
Y 4.053 0.000 5.953
Y 4.053 4.053 5.953
Y 6.080 2.027 8.929
Y 6.080 6.080 2.976
W 0.000 2.027 10.417
W 0.000 6.080 1.488
W 4.053 2.027 7.441
W 4.053 6.080 4.465
```

* formation energy: 1.300 eV per atom
* theoretical density: 3.8 g/cm³
* SG: I4_1/amd, No. 141
* DFT total energy: -5.591 eV/atom
* Fermi-level density of states: 6.54 states/eV/cell

=====

Among the records above, which one has the lowest theoretical density?
SrY2W